No. 1
Compound: ZrTc
Source: Alexandria via LeMat-Bulk
Functional: PBE-GGA
Structure: relaxed

```
12
Lattice="7.326 0.000 0.000 0.000 7.326 0.000 0.000 0.000 7.326" Properties=species:S:1:pos:R:3 pbc="T T T"
Zr 0.000 1.832 3.663
Zr 0.000 5.495 3.663
Zr 1.832 3.663 0.000
Zr 3.663 0.000 1.832
Zr 3.663 0.000 5.495
Zr 5.495 3.663 0.000
Tc 0.000 3.663 1.832
Tc 0.000 3.663 5.495
Tc 1.832 0.000 3.663
Tc 3.663 1.832 0.000
Tc 3.663 5.495 0.000
Tc 5.495 0.000 3.663
```

## Properties
* energy of formation from the pure elements: 183.5 kJ/mol of atoms

No. 2
Compound: Si2HgW
Source: Alexandria via LeMat-Bulk
Functional: PBE-GGA
Structure: relaxed

```
4
Lattice="3.420 0.000 0.000 0.000 3.420 0.000 0.000 0.000 5.590" Properties=species:S:1:pos:R:3 pbc="T T T"
Si 0.000 0.000 0.000
Si 1.710 1.710 1.485
Hg 1.710 1.710 4.284
W 0.000 0.000 2.408
```

## Properties
* formation energy from raw total energies: 394 meV per atom

No. 3
Compound: SrZnMo2
Source: Alexandria via LeMat-Bulk
Functional: PBE-GGA
Structure: relaxed

```
4
Lattice="3.520 0.000 0.000 0.000 3.520 0.000 0.000 0.000 7.051" Properties=species:S:1:pos:R:3 pbc="T T T"
Sr 0.000 0.000 0.000
Zn 0.000 0.000 3.525
Mo 1.760 1.760 2.427
Mo 1.760 1.760 4.624
```

## Properties
* energy of formation from the pure elements: 56.9 kJ/mol of atoms

No. 4
Compound: DyThTlRu
Source: Alexandria via LeMat-Bulk
Functional: PBE-GGA
Structure: relaxed

```
4
Lattice="3.426 0.000 0.000 0.000 3.426 0.000 0.000 0.000 8.486" Properties=species:S:1:pos:R:3 pbc="T T T"
Dy 0.000 0.000 0.000
Th 0.000 0.000 3.494
Tl 1.713 1.713 6.082
Ru 1.713 1.713 1.718
```

## Properties
* energy of formation from the pure elements: -36.2 kJ/mol of atoms

No. 5
Compound: MnFeTe2
Source: Alexandria via LeMat-Bulk
Functional: PBE-GGA
Structure: relaxed

```
4
Lattice="1.938 1.119 6.477 -1.938 1.119 6.477 0.000 -2.238 6.477" Properties=species:S:1:pos:R:3 pbc="T T T"
Mn 0.000 0.000 0.000
Fe 0.000 0.000 13.384
Te 0.000 0.000 4.997
Te 0.000 0.000 8.315
```

## Properties
* formation energy from raw total energies: 70 meV per atom

No. 6
Compound: Nd12CoAu6
Source: Alexandria via LeMat-Bulk
Functional: PBE-GGA
Structure: relaxed

```
19
Lattice="6.448 3.723 4.174 -6.448 3.723 4.174 0.000 -7.446 4.174" Properties=species:S:1:pos:R:3 pbc="T T T"
Nd -4.266 -4.346 6.888
Nd -5.897 1.522 5.633
Nd -1.549 -2.014 4.958
Nd 1.631 -5.868 5.633
Nd -2.519 0.335 7.563
Nd -0.970 2.349 4.958
Nd 0.970 -2.349 7.563
Nd 2.519 -0.335 4.958
Nd -1.631 5.868 6.888
Nd 1.549 2.014 7.563
Nd 5.897 -1.522 6.888
Nd 4.266 4.346 5.633
Co 0.000 0.000 0.000
Au -3.246 0.550 4.463
Au 1.147 -3.087 4.463
Au -2.100 -2.536 8.058
Au 2.100 2.536 4.463
Au -1.147 3.087 8.058
Au 3.246 -0.550 8.058
```

## Properties
* energy of formation from the pure elements: -38.1 kJ/mol of atoms

No. 7
Compound: ErAlCuRu
Source: Alexandria via LeMat-Bulk
Functional: PBE-GGA
Structure: relaxed

```
4
Lattice="0.000 3.211 3.211 3.211 0.000 3.211 3.211 3.211 0.000" Properties=species:S:1:pos:R:3 pbc="T T T"
Er 0.000 0.000 0.000
Al 3.211 3.211 3.211
Cu 4.817 4.817 4.817
Ru 1.606 1.606 1.606
```

## Properties
* energy of formation from the pure elements: -33.4 kJ/mol of atoms

No. 8
Compound: Ac2CuSnS6
Source: Alexandria via LeMat-Bulk
Functional: PBE-GGA
Structure: relaxed

```
20
Lattice="6.538 0.000 0.000 0.000 7.566 0.000 -6.526 0.000 9.511" Properties=species:S:1:pos:R:3 pbc="T T T"
Ac -0.257 0.809 2.351
Ac -3.520 2.974 7.107
Ac 3.532 4.592 2.404
Ac 0.268 6.757 7.160
Cu 3.269 0.000 0.000
Cu 0.006 3.783 4.756
Sn -3.263 0.000 4.756
Sn 0.000 3.783 0.000
S -5.253 1.357 9.101
S -1.990 2.426 4.346
S -4.455 5.111 9.081
S -1.192 6.238 4.325
S -2.618 0.073 7.255
S 0.645 3.709 2.499
S -0.633 3.856 7.012
S 2.630 7.492 2.256
S 1.204 1.328 5.186
S 4.467 2.455 0.430
S 2.001 5.140 5.165
S 5.264 6.209 0.410
```

## Properties
* formation energy from raw total energies: -1197 meV per atom

No. 9
Compound: Ca2Ta2Si
Source: Alexandria via LeMat-Bulk
Functional: PBE-GGA
Structure: relaxed

```
5
Lattice="-1.823 1.823 10.008 1.823 -1.823 10.008 1.823 1.823 -10.008" Properties=species:S:1:pos:R:3 pbc="T T T"
Ca 0.000 0.000 1.876
Ca 0.000 0.000 18.140
Ta 1.823 0.000 5.004
Ta 0.000 1.823 5.004
Si 0.000 0.000 10.008
```

## Properties
* formation energy from raw total energies: 513 meV per atom

No. 10
Compound: Rb2CeHoS4
Source: Alexandria via LeMat-Bulk
Functional: PBE-GGA
Structure: relaxed

```
8
Lattice="7.203 0.000 0.000 0.000 4.157 0.000 -2.394 0.000 7.680" Properties=species:S:1:pos:R:3 pbc="T T T"
Rb 0.000 0.000 0.000
Rb 3.602 2.079 0.000
Ce -1.197 2.079 3.840
Ho 2.405 0.000 3.840
S 0.069 0.000 5.335
S 1.262 2.079 2.366
S 3.547 2.079 5.314
S 4.740 0.000 2.345
```

## Properties
* formation energy from raw total energies: -1801 meV per atom

No. 11
Compound: CaTa2Os
Source: Alexandria via LeMat-Bulk
Functional: PBE-GGA
Structure: relaxed

```
4
Lattice="2.837 -4.860 0.000 2.837 4.860 0.000 -0.879 0.000 2.664" Properties=species:S:1:pos:R:3 pbc="T T T"
Ca 0.000 0.000 0.000
Ta 0.979 2.430 1.332
Ta 0.979 -2.430 1.332
Os 2.837 0.000 0.000
```

## Properties
* energy of formation from the pure elements: 49.5 kJ/mol of atoms
* E above lowest polymorph: 310 meV/atom

No. 12
Compound: TmTh4P5
Source: Alexandria via LeMat-Bulk
Functional: PBE-GGA
Structure: relaxed

```
10
Lattice="-4.591 4.591 2.910 4.591 -4.591 2.910 4.591 4.591 -2.910" Properties=species:S:1:pos:R:3 pbc="T T T"
Tm 0.000 0.000 0.000
Th 5.501 1.836 0.000
Th 1.836 3.680 0.000
Th 2.755 0.911 2.910
Th -0.911 2.755 2.910
P 2.695 0.903 0.000
P 3.688 -1.895 2.910
P 0.000 0.000 2.910
P 0.903 6.486 0.000
P 1.895 3.688 2.910
```

## Properties
* energy of formation from the pure elements: -149.4 kJ/mol of atoms

No. 13
Compound: MnSb5
Source: Alexandria via LeMat-Bulk
Functional: PBE-GGA
Structure: relaxed

```
6
Lattice="3.174 0.000 0.000 0.000 3.174 0.000 0.000 0.000 14.482" Properties=species:S:1:pos:R:3 pbc="T T T"
Mn 0.000 0.000 0.000
Sb 0.000 0.000 4.583
Sb 0.000 0.000 9.899
Sb 1.587 1.587 1.589
Sb 1.587 1.587 7.241
Sb 1.587 1.587 12.893
```

## Properties
* formation energy from raw total energies: 254 meV per atom
* E above lowest polymorph: 99 meV/atom

No. 14
Compound: GdLuThTc
Source: Alexandria via LeMat-Bulk
Functional: PBE-GGA
Structure: relaxed

```
4
Lattice="0.000 3.687 3.687 3.687 0.000 3.687 3.687 3.687 0.000" Properties=species:S:1:pos:R:3 pbc="T T T"
Gd 0.000 0.000 0.000
Lu 1.843 1.843 1.843
Th 3.687 3.687 3.687
Tc 5.530 5.530 5.530
```

## Properties
* energy of formation from the pure elements: 16.9 kJ/mol of atoms

No. 15
Compound: Ca2CrBr2
Source: Alexandria via LeMat-Bulk
Functional: PBE-GGA
Structure: relaxed

```
5
Lattice="-3.018 3.018 4.137 3.018 -3.018 4.137 3.018 3.018 -4.137" Properties=species:S:1:pos:R:3 pbc="T T T"
Ca 3.018 0.000 2.069
Ca 0.000 3.018 2.069
Cr 0.000 0.000 0.000
Br 0.000 0.000 2.450
Br 0.000 0.000 5.824
```

## Properties
* formation energy from raw total energies: -455 meV per atom
* E above lowest polymorph: 133 meV/atom

No. 16
Compound: PrLuS3
Source: Alexandria via LeMat-Bulk
Functional: PBE-GGA
Structure: relaxed

```
10
Lattice="1.901 -6.402 0.000 1.901 6.402 0.000 0.000 0.000 10.000" Properties=species:S:1:pos:R:3 pbc="T T T"
Pr 0.000 0.000 0.000
Pr 0.000 0.000 5.000
Lu 1.901 3.271 7.500
Lu 1.901 -3.271 2.500
S 1.901 5.006 2.500
S 1.901 1.904 0.844
S 1.901 1.904 4.156
S 1.901 -1.904 5.844
S 1.901 -1.904 9.156
S 1.901 -5.006 7.500
```

## Properties
* formation energy from raw total energies: -1927 meV per atom
* E above lowest polymorph: 152 meV/atom

No. 17
Compound: PmY4N4
Source: Alexandria via LeMat-Bulk
Functional: PBE-GGA
Structure: relaxed

```
9
Lattice="-3.957 3.957 2.463 3.957 -3.957 2.463 3.957 3.957 -2.463" Properties=species:S:1:pos:R:3 pbc="T T T"
Pm 0.000 0.000 0.000
Y 4.827 1.468 0.000
Y 1.468 3.087 0.000
Y 2.489 0.870 2.463
Y -0.870 2.489 2.463
N 2.398 0.798 0.000
N 3.160 -1.560 2.463
N 0.798 5.517 0.000
N 1.560 3.160 2.463
```

## Properties
* formation energy from raw total energies: -1451 meV per atom

No. 18
Compound: Rb3TeI
Source: Alexandria via LeMat-Bulk
Functional: PBE-GGA
Structure: relaxed

```
20
Lattice="-3.044 9.118 9.603 3.044 -9.118 9.603 3.044 9.118 -9.603" Properties=species:S:1:pos:R:3 pbc="T T T"
Rb 3.044 6.992 -6.072
Rb 3.044 2.268 -0.088
Rb 3.044 -2.125 6.072
Rb 0.000 1.809 3.388
Rb 3.044 6.850 -0.088
Rb 3.044 1.809 6.215
Rb 0.000 7.308 3.388
Rb 0.000 2.268 9.691
Rb 3.044 7.308 6.215
Rb 0.000 11.243 3.531
Rb 0.000 6.850 9.691
Rb 0.000 2.125 15.675
Te 3.044 0.092 2.827
Te 0.000 0.092 6.776
Te 3.044 9.026 2.827
Te 0.000 9.026 6.776
I 3.044 4.559 -3.082
I 0.000 4.559 0.851
I 3.044 4.559 8.752
I 0.000 4.559 12.685
```

## Properties
* formation energy from raw total energies: -1136 meV per atom
* E above lowest polymorph: 0 meV/atom

No. 19
Compound: Cs2LiWCl6
Source: Alexandria via LeMat-Bulk
Functional: PBE-GGA
Structure: relaxed

```
10
Lattice="0.000 5.170 5.170 5.170 0.000 5.170 5.170 5.170 0.000" Properties=species:S:1:pos:R:3 pbc="T T T"
Cs 2.585 2.585 2.585
Cs 7.754 7.754 7.754
Li 0.000 0.000 0.000
W 5.170 5.170 5.170
Cl 5.170 5.170 2.699
Cl 5.170 2.699 5.170
Cl 7.640 5.170 5.170
Cl 2.699 5.170 5.170
Cl 5.170 7.640 5.170
Cl 5.170 5.170 7.640
```

## Properties
* formation energy from raw total energies: -1423 meV per atom

No. 20
Compound: Ho3GaAg2
Source: Alexandria via LeMat-Bulk
Functional: PBE-GGA
Structure: relaxed

```
6
Lattice="3.574 0.000 0.000 0.000 3.574 0.000 0.000 0.000 10.934" Properties=species:S:1:pos:R:3 pbc="T T T"
Ho 0.000 0.000 0.000
Ho 0.000 0.000 3.698
Ho 0.000 0.000 7.235
Ga 1.787 1.787 5.467
Ag 1.787 1.787 1.860
Ag 1.787 1.787 9.074
```

## Properties
* energy of formation from the pure elements: -40.4 kJ/mol of atoms

No. 21
Compound: LaAlP4
Source: Alexandria via LeMat-Bulk
Functional: PBE-GGA
Structure: relaxed

```
6
Lattice="0.000 3.829 3.829 3.829 0.000 3.829 3.829 3.829 0.000" Properties=species:S:1:pos:R:3 pbc="T T T"
La 0.000 0.000 0.000
Al 1.914 1.914 1.914
P 4.677 2.980 2.980
P 2.980 4.677 2.980
P 2.980 2.980 4.677
P 4.677 4.677 4.677
```

## Properties
* energy of formation from the pure elements: -10.8 kJ/mol of atoms

No. 22
Compound: Tm4NpAs5
Source: Alexandria via LeMat-Bulk
Functional: PBE-GGA
Structure: relaxed

```
10
Lattice="-2.033 2.876 10.189 2.033 -2.876 10.189 2.033 2.876 -10.189" Properties=species:S:1:pos:R:3 pbc="T T T"
Tm 0.000 0.000 2.063
Tm 0.000 0.000 6.078
Tm 0.000 0.000 14.300
Tm 0.000 0.000 18.314
Np 0.000 0.000 10.189
As 2.033 0.000 0.000
As 2.033 0.000 4.079
As 2.033 0.000 8.145
As 0.000 2.876 2.044
As 0.000 2.876 6.109
```

## Properties
* energy of formation from the pure elements: -128.7 kJ/mol of atoms

No. 23
Compound: Tl2AgSn2
Source: Alexandria via LeMat-Bulk
Functional: PBE-GGA
Structure: relaxed

```
5
Lattice="-2.145 2.145 8.034 2.145 -2.145 8.034 2.145 2.145 -8.034" Properties=species:S:1:pos:R:3 pbc="T T T"
Tl 2.145 0.000 4.017
Tl 0.000 2.145 4.017
Ag 0.000 0.000 0.000
Sn 0.000 0.000 6.586
Sn 0.000 0.000 9.482
```

## Properties
* energy of formation from the pure elements: 29.6 kJ/mol of atoms
* E above lowest polymorph: 282 meV/atom

No. 24
Compound: Zn3Ga2Ag2
Source: Alexandria via LeMat-Bulk
Functional: PBE-GGA
Structure: relaxed

```
7
Lattice="4.387 -1.961 0.000 4.387 1.961 0.000 -0.357 0.000 6.841" Properties=species:S:1:pos:R:3 pbc="T T T"
Zn 0.000 0.000 0.000
Zn 2.199 0.000 5.970
Zn 6.218 0.000 0.871
Ga 1.106 0.000 2.820
Ga 7.311 0.000 4.021
Ag 3.670 0.000 1.900
Ag 4.747 0.000 4.941
```

## Properties
* energy of formation from the pure elements: 1.6 kJ/mol of atoms
* E above lowest polymorph: 0 meV/atom